Entry 1:
# NaAlInF6 (PBE, relaxed)
# Uncorrected energy   -4.97 eV per atom
# Energy relative to the elements, uncorrected   -2.853 eV per atom
data_NaAlInF6
_space_group_name_H-M_alt 'P 1'
_space_group_IT_number 1
_cell_length_a 5.635
_cell_length_b 5.635
_cell_length_c 9.243
_cell_angle_alpha 90.00
_cell_angle_beta 90.00
_cell_angle_gamma 120.00
loop_
_space_group_symop_operation_xyz
'x,y,z'
loop_
_atom_site_label
_atom_site_type_symbol
_atom_site_fract_x
_atom_site_fract_y
_atom_site_fract_z
F1 F 0.064 0.395 0.638
F2 F 0.936 0.605 0.362
F3 F 0.670 0.064 0.362
F4 F 0.936 0.330 0.138
F5 F 0.330 0.936 0.638
F6 F 0.605 0.936 0.862
F7 F 0.330 0.395 0.862
F8 F 0.064 0.670 0.862
F9 F 0.395 0.064 0.138
F10 F 0.395 0.330 0.362
F11 F 0.670 0.605 0.138
F12 F 0.605 0.670 0.638
Al1 Al 0.667 0.333 0.250
Al2 Al 0.333 0.667 0.750
In1 In 0.333 0.667 0.250
In2 In 0.667 0.333 0.750
Na1 Na 0.000 0.000 0.000
Na2 Na 0.000 0.000 0.500

---

Entry 2:
# Ti12ZnHg3 (PBE, relaxed)
# Uncorrected energy   -6.11 eV per atom
# DFT formation energy   -50 meV per atom
data_Ti12ZnHg3
_space_group_name_H-M_alt 'P 1'
_space_group_IT_number 1
_cell_length_a 4.107
_cell_length_b 4.107
_cell_length_c 16.413
_cell_angle_alpha 90.00
_cell_angle_beta 90.00
_cell_angle_gamma 90.00
loop_
_space_group_symop_operation_xyz
'x,y,z'
loop_
_atom_site_label
_atom_site_type_symbol
_atom_site_fract_x
_atom_site_fract_y
_atom_site_fract_z
Hg1 Hg 0.000 0.000 0.500
Hg2 Hg 0.000 0.000 0.754
Hg3 Hg 0.000 0.000 0.246
Ti1 Ti 0.500 0.500 0.247
Ti2 Ti 0.500 0.000 0.882
Ti3 Ti 0.500 0.500 0.000
Ti4 Ti 0.500 0.500 0.500
Ti5 Ti 0.000 0.500 0.882
Ti6 Ti 0.500 0.500 0.753
Ti7 Ti 0.000 0.500 0.373
Ti8 Ti 0.000 0.500 0.118
Ti9 Ti 0.500 0.000 0.118
Ti10 Ti 0.000 0.500 0.627
Ti11 Ti 0.500 0.000 0.627
Ti12 Ti 0.500 0.000 0.373
Zn1 Zn 0.000 0.000 0.000

---

Entry 3:
# Rb2AgC2 (PBE, relaxed)
# Uncorrected energy   -3.98 eV per atom
# DFT formation energy   665 meV per atom
data_Rb2AgC2
_space_group_name_H-M_alt 'P 1'
_space_group_IT_number 1
_cell_length_a 7.848
_cell_length_b 7.848
_cell_length_c 4.376
_cell_angle_alpha 90.00
_cell_angle_beta 90.00
_cell_angle_gamma 90.00
loop_
_space_group_symop_operation_xyz
'x,y,z'
loop_
_atom_site_label
_atom_site_type_symbol
_atom_site_fract_x
_atom_site_fract_y
_atom_site_fract_z
Rb1 Rb 0.795 0.295 0.500
Rb2 Rb 0.705 0.795 0.500
Rb3 Rb 0.205 0.705 0.500
Rb4 Rb 0.295 0.205 0.500
C1 C 0.443 0.943 0.000
C2 C 0.557 0.057 0.000
C3 C 0.057 0.443 0.000
C4 C 0.943 0.557 0.000
Ag1 Ag 0.500 0.500 0.000
Ag2 Ag 0.000 0.000 0.000

---

Entry 4:
# Na2Tl6Pd (PBE, relaxed)
# Uncorrected energy   -2.53 eV per atom
# DFT formation energy   -82 meV per atom
data_Na2Tl6Pd
_space_group_name_H-M_alt 'P 1'
_space_group_IT_number 1
_cell_length_a 3.644
_cell_length_b 8.841
_cell_length_c 8.893
_cell_angle_alpha 119.81
_cell_angle_beta 90.00
_cell_angle_gamma 90.00
loop_
_space_group_symop_operation_xyz
'x,y,z'
loop_
_atom_site_label
_atom_site_type_symbol
_atom_site_fract_x
_atom_site_fract_y
_atom_site_fract_z
Tl1 Tl 0.000 0.259 0.000
Tl2 Tl 0.500 0.625 0.000
Tl3 Tl 0.000 0.996 0.250
Tl4 Tl 0.500 0.002 0.636
Tl5 Tl 0.500 0.366 0.364
Tl6 Tl 0.000 0.746 0.750
Na1 Na 0.000 0.331 0.661
Na2 Na 0.000 0.670 0.339
Pd1 Pd 0.500 0.004 0.000